[1]
Here is an optimized crystal structure of PaGe2W from the Alexandria database. Energies are from PBE-GGA.

As for the excess energy over the best structure of this formula in the dataset: 26.3 kJ/mol of atoms. The value obtained for the formation energy is 285 meV/atom. For the density of states at the Fermi level, the calculation gives 1.110 states/eV/atom.

Cell: 2.994 2.994 10.341 Å, 81.68 81.68 60.00°
Atoms (fractional coordinates):
Ge: 0.098 0.098 0.706
Ge: 0.902 0.902 0.294
Pa: 0.000 0.000 0.000
W: 0.500 0.500 0.500



[2]
Here is an optimized crystal structure of DyHo2Ru2 from the Alexandria database. Energies are from PBE-GGA.

As for the excess energy over the best structure of this formula in the dataset: 9.1 kJ/mol of atoms. The value obtained for the formation energy is -240 meV/atom. For the density of states at the Fermi level, the calculation gives 0.787 states/eV/atom.

Cell: 4.397 5.431 10.834 Å, 111.68 90.00 90.00°
Atoms (fractional coordinates):
Dy: 0.250 0.793 0.219
Dy: 0.750 0.207 0.781
Ho: 0.250 0.775 0.886
Ho: 0.750 0.225 0.114
Ho: 0.250 0.281 0.527
Ho: 0.750 0.719 0.473
Ru: 0.250 0.901 0.652
Ru: 0.750 0.099 0.348
Ru: 0.250 0.318 0.954
Ru: 0.750 0.682 0.046



[3]
Here is an optimized crystal structure of Co5Te from the Alexandria database. Energies are from PBE-GGA.

As for the excess energy over the best structure of this formula in the dataset: 16.1 kJ/mol of atoms. Its formation energy (no corrections) is 0.303 eV/atom. For the density of states at the Fermi level, the calculation gives 1.195 states/eV/atom.

Cell: 3.070 3.070 8.262 Å, 90.00 90.00 90.00°
Each line ends with the local moment (μB).
Atoms (fractional coordinates):
Co: 0.000 0.000 0.806  1.26
Co: 0.000 0.000 0.194  1.26
Co: 0.500 0.500 0.644  1.78
Co: 0.500 0.500 0.356  1.78
Co: 0.000 0.000 0.500  1.74
Te: 0.500 0.500 0.000  -0.03



[4]
Here is an optimized crystal structure of Ba2MgAlAu6 from the Alexandria database. Energies are from PBE-GGA.

The value obtained for the formation energy is -588 meV/atom. For the density of states at the Fermi level, the calculation gives 0.403 states/eV/atom.

Cell: 6.914 7.408 7.334 Å, 56.28 62.07 89.93°
Atoms (fractional coordinates):
Ba: 0.282 0.717 0.437
Ba: 0.718 0.283 0.563
Mg: 0.000 0.000 0.000
Al: 0.500 0.500 0.000
Au: 0.252 0.746 0.915
Au: 0.832 0.748 0.914
Au: 0.254 0.164 0.494
Au: 0.748 0.254 0.085
Au: 0.168 0.252 0.086
Au: 0.746 0.836 0.506



[5]
Here is an optimized crystal structure of La3HoC8 from the Alexandria database. Energies are from PBE-GGA.

The value obtained for the formation energy is 119 meV/atom. For the density of states at the Fermi level, the calculation gives 0.339 states/eV/atom.

Cell: 6.520 6.514 6.520 Å, 68.96 73.58 111.04°
Atoms (fractional coordinates):
La: 0.751 0.500 0.749
La: 0.251 0.500 0.249
La: 0.500 0.000 0.500
Ho: 0.000 0.000 0.000
C: 0.054 0.000 0.628
C: 0.628 0.682 0.372
C: 0.945 0.318 0.055
C: 0.372 0.000 0.946
C: 0.858 0.000 0.620
C: 0.620 0.478 0.380
C: 0.141 0.522 0.859
C: 0.380 0.000 0.142



[6]
Here is an optimized crystal structure of RbCaBr from the Alexandria database. Energies are from PBE-GGA.

As for the excess energy over the best structure of this formula in the dataset: 2.6 kJ/mol of atoms. Its formation energy (no corrections) is -0.894 eV/atom. For the density of states at the Fermi level, the calculation gives 0.525 states/eV/atom.

Cell: 4.312 7.978 8.081 Å, 97.66 90.08 105.64°
Atoms (fractional coordinates):
Ca: 0.240 0.430 0.067
Ca: 0.510 0.963 0.034
Br: 0.409 0.764 0.332
Br: 0.673 0.293 0.299
Rb: 0.832 0.609 0.646
Rb: 0.076 0.097 0.572



[7]
Here is an optimized crystal structure of KSr3I from the Alexandria database. Energies are from PBE-GGA.

As for the excess energy over the best structure of this formula in the dataset: 51.4 kJ/mol of atoms. Its formation energy (no corrections) is 0.360 eV/atom. For the density of states at the Fermi level, the calculation gives 0.505 states/eV/atom.

Cell: 7.295 7.295 7.295 Å, 90.00 90.00 90.00°
Atoms (fractional coordinates):
I: 0.500 0.500 0.500
Sr: 0.000 0.500 0.000
Sr: 0.000 0.000 0.500
Sr: 0.500 0.000 0.000
K: 0.000 0.000 0.000



[8]
Here is an optimized crystal structure of Tb2Nd3Pt2 from the Alexandria database. Energies are from PBE-GGA.

The value obtained for the formation energy is -701 meV/atom. For the density of states at the Fermi level, the calculation gives 1.193 states/eV/atom.

Cell: 3.858 6.536 8.892 Å, 101.15 102.54 107.15°
Atoms (fractional coordinates):
Tb: 0.647 0.480 0.814
Tb: 0.353 0.520 0.186
Nd: 0.500 0.000 0.000
Nd: 0.180 0.794 0.567
Nd: 0.820 0.206 0.433
Pt: 0.056 0.879 0.234
Pt: 0.944 0.121 0.766